A plane-wave DFT calculation with PBE was carried out for a relaxed SrPmPd crystal.

Unit cell a=5.134 b=5.134 c=5.134 alpha=60.00 beta=60.00 gamma=60.00
Fractional positions:
Sr (0.000, 0.000, 0.000)
Pd (0.250, 0.250, 0.250)
Pm (0.500, 0.500, 0.500)

Values from the calculation:
For the relative energy among the computed polymorphs, the calculation gives 0.124 eV/atom. The formation energy comes out at -0.98 eV per formula unit. For the size of the total moment, the calculation gives 0.00 μB/atom. As for the space group: No. 216.

A plane-wave DFT calculation with PBE was carried out for a relaxed LiTl3Se2 crystal.

Unit cell a=4.292 b=8.980 c=10.451 alpha=76.08 beta=78.15 gamma=76.17
Fractional positions:
Li (0.427, 0.494, 0.652)
Li (0.573, 0.506, 0.348)
Tl (0.055, 0.141, 0.749)
Tl (0.945, 0.859, 0.251)
Tl (0.647, 0.704, 0.002)
Tl (0.353, 0.296, 0.998)
Tl (0.762, 0.831, 0.645)
Tl (0.238, 0.169, 0.355)
Se (0.857, 0.477, 0.809)
Se (0.143, 0.523, 0.191)
Se (0.606, 0.251, 0.538)
Se (0.394, 0.749, 0.462)

Values from the calculation:
Its formation energy from raw total energies is -0.58 eV/atom. For the size of the total moment, the calculation gives 0.00 μB/atom. As for the space group: No. 12.

A plane-wave DFT calculation with PBE was carried out for a relaxed Ta2CoP crystal.

Unit cell a=3.620 b=2.887 c=5.894 alpha=73.29 beta=90.00 gamma=90.00
Fractional positions:
Co (0.500, 0.250, 0.250)
P (0.500, 0.750, 0.750)
Ta (0.000, 0.959, 0.001)
Ta (0.000, 0.541, 0.499)

Values from the calculation:
The formation energy comes out at -0.95 eV per formula unit. For the size of the total moment, the calculation gives 0.00 μB/atom. As for the space group: No. 10.

A plane-wave DFT calculation with PBE was carried out for a relaxed NaMgCu2I6 crystal.

Unit cell a=7.461 b=9.645 c=9.645 alpha=88.07 beta=83.11 gamma=83.11
Fractional positions:
Na (0.250, 0.914, 0.086)
Na (0.750, 0.086, 0.914)
Mg (0.250, 0.268, 0.732)
Mg (0.750, 0.732, 0.268)
Cu (0.202, 0.768, 0.597)
Cu (0.298, 0.403, 0.232)
Cu (0.798, 0.232, 0.403)
Cu (0.702, 0.597, 0.768)
I (0.144, 0.977, 0.775)
I (0.356, 0.225, 0.023)
I (0.856, 0.023, 0.225)
I (0.644, 0.775, 0.977)
I (0.397, 0.859, 0.382)
I (0.103, 0.618, 0.141)
I (0.603, 0.141, 0.618)
I (0.897, 0.382, 0.859)
I (0.880, 0.712, 0.553)
I (0.620, 0.447, 0.288)
I (0.120, 0.288, 0.447)
I (0.380, 0.553, 0.712)

Values from the calculation:
Its formation energy from raw total energies is -0.58 eV/atom. For the size of the total moment, the calculation gives 0.00 μB/atom. As for the space group: No. 15.

A plane-wave DFT calculation with PBE was carried out for a relaxed CrTc6Ge8 crystal.

Unit cell a=6.362 b=6.362 c=6.362 alpha=87.81 beta=87.81 gamma=87.81
Fractional positions:
Cr (0.000, 0.000, 0.000)
Tc (0.540, 0.452, 0.799)
Tc (0.452, 0.799, 0.540)
Tc (0.799, 0.540, 0.452)
Tc (0.460, 0.548, 0.201)
Tc (0.548, 0.201, 0.460)
Tc (0.201, 0.460, 0.548)
Ge (0.777, 0.777, 0.777)
Ge (0.223, 0.223, 0.223)
Ge (0.684, 0.879, 0.219)
Ge (0.879, 0.219, 0.684)
Ge (0.219, 0.684, 0.879)
Ge (0.316, 0.121, 0.781)
Ge (0.121, 0.781, 0.316)
Ge (0.781, 0.316, 0.121)

Values from the calculation:
The formation energy comes out at 1.33 eV per formula unit. For the size of the total moment, the calculation gives 0.18 μB/atom. As for the space group: No. 148.

A plane-wave DFT calculation with PBE was carried out for a relaxed Nd2Ni3Sn4Rh crystal.

Unit cell a=4.445 b=4.445 c=10.412 alpha=90.00 beta=90.00 gamma=90.00
Fractional positions:
Nd (0.500, 0.000, 0.254)
Nd (0.000, 0.500, 0.746)
Ni (0.000, 0.000, 0.500)
Ni (0.500, 0.000, 0.873)
Ni (0.000, 0.500, 0.127)
Sn (0.500, 0.500, 0.000)
Sn (0.000, 0.000, 0.000)
Sn (0.500, 0.000, 0.633)
Sn (0.000, 0.500, 0.367)
Rh (0.500, 0.500, 0.500)

Values from the calculation:
The formation energy comes out at -5.71 eV per formula unit. For the size of the total moment, the calculation gives 0.00 μB/atom. As for the space group: No. 115.

A plane-wave DFT calculation with PBE was carried out for a relaxed RbV2Os crystal.

Unit cell a=4.646 b=4.646 c=4.646 alpha=60.00 beta=60.00 gamma=60.00
Fractional positions:
Os (0.500, 0.500, 0.500)
Rb (0.000, 0.000, 0.000)
V (0.250, 0.250, 0.250)
V (0.750, 0.750, 0.750)

Values from the calculation:
For the relative energy among the computed polymorphs, the calculation gives 0.054 eV/atom. The formation energy comes out at 5.92 eV per formula unit. For the size of the total moment, the calculation gives 0.85 μB/atom. As for the space group: No. 225.

A plane-wave DFT calculation with PBE was carried out for a relaxed PuPa2Tc crystal.

Unit cell a=3.150 b=3.150 c=10.442 alpha=81.32 beta=81.32 gamma=60.00
Fractional positions:
Pa (0.094, 0.094, 0.719)
Pa (0.906, 0.906, 0.281)
Tc (0.500, 0.500, 0.500)
Pu (0.000, 0.000, 0.000)

Values from the calculation:
For the relative energy among the computed polymorphs, the calculation gives 0.301 eV/atom. The formation energy comes out at 0.99 eV per formula unit. For the size of the total moment, the calculation gives 1.24 μB/atom. As for the space group: No. 166.

Q: size of the total moment of number 1 (SrPmPd)?
A: 0.00 μB/atom